*i*
DFT (GGA-PBE) results for a relaxed structure of BeBS.

Cell and atoms, written as extended XYZ:
```
12
Lattice="-2.631 -3.426 -5.630 2.878 -0.115 -1.275 1.623 -4.635 4.082" Properties=species:S:1:pos:R:3 pbc="T T T"
S 0.326 -6.777 -2.544
Be 2.148 -2.607 1.193
S -1.924 -4.402 -3.948
S 0.966 -1.565 -1.570
Be -0.102 -0.232 -0.210
B -1.340 -3.060 -2.750
Be 0.092 -5.855 0.736
Be 0.720 -3.595 -1.943
S 0.339 -3.825 1.109
B -0.415 -4.579 -0.524
B 0.213 -2.319 -3.202
B 0.910 -5.435 -1.347
```

***

*ii*
DFT (GGA-PBE) results for a relaxed structure of BeBS.

Cell and atoms, written as extended XYZ:
```
6
Lattice="3.205 -0.002 0.002 0.710 3.427 0.004 0.508 0.263 6.649" Properties=species:S:1:pos:R:3 pbc="T T T"
B 0.698 0.170 2.458
Be 1.603 1.903 3.480
S 3.310 2.495 4.859
S 0.721 0.776 0.682
Be 2.830 0.729 6.190
B 2.973 3.384 3.077
```

***

*iii*
DFT (GGA-PBE) results for a relaxed structure of BeBS.

Cell and atoms, written as extended XYZ:
```
6
Lattice="-2.700 -2.919 -3.020 2.161 -2.332 0.322 -1.611 -0.831 4.793" Properties=species:S:1:pos:R:3 pbc="T T T"
Be -0.842 -2.433 3.879
S -2.120 -4.180 -0.191
B 0.270 -1.801 1.001
S -2.727 -2.102 3.072
Be -2.273 -2.134 -0.201
B -0.899 -0.799 0.251
```

***

Referenced to the most stable arrangement, the calculated values in kJ/mol of atoms are *i* 3.7; *ii* 2.2; *iii* 0.0.

***

*i*
DFT (GGA-PBE) results for a relaxed structure of BeBS.

Cell and atoms, written as extended XYZ:
```
6
Lattice="3.203 0.000 0.000 -0.806 4.447 0.001 -0.713 -0.646 5.004" Properties=species:S:1:pos:R:3 pbc="T T T"
Be 1.250 1.078 3.852
B 2.021 -0.091 2.286
Be 0.433 2.724 1.153
B -0.337 3.892 2.719
S -0.349 2.405 3.985
S 2.032 1.396 1.021
```

***

*ii*
DFT (GGA-PBE) results for a relaxed structure of BeBS.

Cell and atoms, written as extended XYZ:
```
6
Lattice="-0.567 1.614 -2.706 -1.020 -4.253 -1.482 -4.490 1.050 2.186" Properties=species:S:1:pos:R:3 pbc="T T T"
Be -4.442 1.412 -0.484
S -4.574 -0.515 0.257
B -1.150 -0.526 -0.637
B -1.708 0.750 -1.698
S -3.530 -2.080 -2.130
Be -2.829 -1.755 -0.170
```

***

Referenced to the most stable arrangement, the calculated values in kJ/mol of atoms are *i* 0.0; *ii* 3.3.

***

*i*
DFT (GGA-PBE) results for a relaxed structure of BeBS.

Cell and atoms, written as extended XYZ:
```
12
Lattice="-0.709 6.121 -4.058 -2.533 0.937 1.856 3.572 2.731 3.496" Properties=species:S:1:pos:R:3 pbc="T T T"
S 0.078 1.959 -0.882
S 1.367 8.447 0.495
Be 0.781 2.072 2.913
S 0.598 3.793 1.794
B 0.393 4.616 -1.793
Be 1.707 5.413 2.491
S 0.848 6.613 -2.181
Be 1.188 3.579 -0.185
B -1.408 4.678 -1.390
Be 0.262 0.238 0.237
B 0.913 6.450 0.883
B 1.644 5.575 -0.570
```

***

*ii*
DFT (GGA-PBE) results for a relaxed structure of BeBS.

Cell and atoms, written as extended XYZ:
```
6
Lattice="-2.225 1.577 1.629 0.500 -3.235 3.814 4.207 4.181 1.586" Properties=species:S:1:pos:R:3 pbc="T T T"
S 0.749 -0.843 3.387
B 2.399 5.051 2.921
Be 3.803 3.526 3.218
S 1.732 3.366 3.642
Be -1.322 -1.003 3.812
B 0.083 -2.528 4.108
```

***

Referenced to the most stable arrangement, the calculated values in kJ/mol of atoms are *i* 1.1; *ii* 0.0.

***

*i*
DFT (GGA-PBE) results for a relaxed structure of BeBS.

Cell and atoms, written as extended XYZ:
```
6
Lattice="3.288 0.001 0.000 1.622 2.862 0.000 0.551 1.161 7.343" Properties=species:S:1:pos:R:3 pbc="T T T"
Be 1.819 2.056 2.708
B 3.459 2.993 3.581
S 3.239 2.055 5.220
S 1.828 2.033 0.625
Be 4.037 2.227 7.176
B 3.479 1.116 3.584
```

***

*ii*
DFT (GGA-PBE) results for a relaxed structure of BeBS.

Cell and atoms, written as extended XYZ:
```
6
Lattice="3.205 0.003 0.004 -1.311 3.318 -0.009 -0.048 -0.247 8.006" Properties=species:S:1:pos:R:3 pbc="T T T"
Be 0.190 1.768 7.683
B 0.574 -0.029 6.406
B 2.124 0.228 7.028
S -1.049 2.770 4.493
S 1.850 1.338 0.713
Be 1.902 0.679 5.052
```

***

Referenced to the most stable arrangement, the calculated values in kJ/mol of atoms are *i* 0.0; *ii* 3.9.

***

*i*
DFT (GGA-PBE) results for a relaxed structure of BeB2S.

Cell and atoms, written as extended XYZ:
```
16
Lattice="3.426 0.000 -0.002 0.000 3.086 0.000 -1.823 0.000 16.238" Properties=species:S:1:pos:R:3 pbc="T T T"
Be 1.245 0.000 13.661
B 0.548 0.000 9.168
S 2.413 0.000 6.696
B 2.259 0.000 8.619
S 1.502 1.543 14.815
B -0.432 1.543 11.188
Be 2.156 1.543 5.542
Be 1.367 1.543 10.053
S -0.457 0.000 12.306
B 0.590 0.000 1.320
Be 2.278 0.000 1.934
B 0.480 0.000 3.069
B -0.322 1.543 9.439
S 0.454 1.543 4.187
B 1.459 1.543 1.049
B 3.171 1.543 0.500
```

***

*ii*
DFT (GGA-PBE) results for a relaxed structure of BeB2S.

Cell and atoms, written as extended XYZ:
```
8
Lattice="-0.332 -2.122 -2.231 2.176 -2.722 0.215 -4.993 -5.591 4.045" Properties=species:S:1:pos:R:3 pbc="T T T"
B -0.731 -4.947 -0.174
S -2.535 -5.070 0.184
Be -3.192 -4.935 2.335
S -3.078 -7.083 2.231
Be 0.939 -4.616 -0.732
B 0.252 -4.316 1.239
B -0.391 -3.584 -1.608
B 0.556 -2.338 -0.817
```

***

Referenced to the most stable arrangement, the calculated values in kJ/mol of atoms are *i* 1.8; *ii* 0.0.

***

*i*
DFT (GGA-PBE) results for a relaxed structure of BeB2S.

Cell and atoms, written as extended XYZ:
```
8
Lattice="-3.005 -0.272 0.561 -0.844 -1.422 3.192 -1.188 8.144 5.033" Properties=species:S:1:pos:R:3 pbc="T T T"
B -2.286 4.977 5.112
S -2.025 3.293 5.689
Be -3.803 -0.577 3.658
B -2.052 6.162 6.953
B -0.980 5.744 4.091
Be -2.440 6.778 5.176
B -3.625 6.854 7.258
S -2.557 0.655 2.536
```

***

*ii*
DFT (GGA-PBE) results for a relaxed structure of BeB2S.

Cell and atoms, written as extended XYZ:
```
8
Lattice="4.641 0.000 0.000 0.000 4.641 0.000 2.321 2.321 4.060" Properties=species:S:1:pos:R:3 pbc="T T T"
Be 2.321 4.641 2.030
Be 2.321 2.321 0.000
S 4.641 2.321 2.030
B 1.114 3.481 1.015
S 0.000 0.000 0.000
B 5.802 5.848 3.045
B 3.527 1.160 1.015
B 3.481 3.434 3.045
```

***

*iii*
DFT (GGA-PBE) results for a relaxed structure of BeB2S.

Cell and atoms, written as extended XYZ:
```
8
Lattice="-2.438 2.081 -0.291 -2.889 -0.843 1.217 1.155 3.987 7.868" Properties=species:S:1:pos:R:3 pbc="T T T"
S -1.384 3.097 3.978
B -2.552 4.792 7.004
S -2.238 0.304 2.458
B -0.723 4.379 6.749
Be -0.941 1.889 2.293
B -3.054 3.304 6.134
B -1.361 2.898 5.860
Be -1.626 3.477 8.516
```

***

*iv*
DFT (GGA-PBE) results for a relaxed structure of BeB2S.

Cell and atoms, written as extended XYZ:
```
16
Lattice="2.974 0.000 0.000 0.000 3.393 0.000 -1.837 0.000 20.625" Properties=species:S:1:pos:R:3 pbc="T T T"
B -0.827 2.518 19.677
Be 1.590 0.000 8.177
B 0.091 0.822 9.364
B 1.578 1.697 8.782
B 1.581 1.697 7.003
B 0.660 0.000 19.094
Be 0.330 0.000 11.292
Be 0.671 1.697 18.489
S 1.614 0.000 2.005
B 0.091 2.572 9.364
S -0.824 0.000 16.263
Be 1.248 1.697 0.980
B 0.663 0.000 17.315
S 0.094 1.697 5.951
B -0.827 0.875 19.677
S 0.696 1.697 12.318
```

***

Referenced to the most stable arrangement, the calculated values in kJ/mol of atoms are *i* 4.2; *ii* 71.6; *iii* 0.0; *iv* 5.7.

***

*i*
DFT (GGA-PBE) results for a relaxed structure of BeB2S.

Cell and atoms, written as extended XYZ:
```
16
Lattice="-3.163 -0.735 1.236 1.220 -0.682 2.716 -1.639 16.830 4.962" Properties=species:S:1:pos:R:3 pbc="T T T"
B -2.536 15.870 6.842
S -1.186 10.989 3.292
B -2.312 16.195 5.106
S -3.045 4.549 2.510
B -3.937 15.883 5.757
B -2.507 7.127 4.634
Be -4.000 8.239 3.866
S -3.255 12.623 6.350
B -0.883 7.439 3.982
Be -4.452 13.947 5.502
S 0.243 2.233 2.169
Be -2.571 -0.517 2.743
B -2.327 7.796 3.003
Be -3.023 5.191 4.379
B -3.532 10.866 6.033
B -3.323 2.792 2.194
```

***

*ii*
DFT (GGA-PBE) results for a relaxed structure of BeB2S.

Cell and atoms, written as extended XYZ:
```
4
Lattice="0.000 2.613 2.613 2.613 0.000 2.613 2.613 2.613 0.000" Properties=species:S:1:pos:R:3 pbc="T T T"
S 2.613 2.613 2.613
Be 0.000 0.000 0.000
B 1.306 1.306 1.306
B 3.919 3.919 3.919
```

***

Referenced to the most stable arrangement, the calculated values in kJ/mol of atoms are *i* 0.0; *ii* 159.6.

***

*i*
DFT (GGA-PBE) results for a relaxed structure of BeBS2.

Cell and atoms, written as extended XYZ:
```
4
Lattice="1.956 0.000 5.860 -0.978 1.694 5.860 -0.978 -1.694 5.860" Properties=species:S:1:pos:R:3 pbc="T T T"
S 0.000 0.000 1.721
Be 0.000 0.000 8.790
S 0.000 0.000 15.859
B 0.000 0.000 0.000
```

***

*ii*
DFT (GGA-PBE) results for a relaxed structure of BeBS2.

Cell and atoms, written as extended XYZ:
```
4
Lattice="-3.412 1.981 1.036 -1.868 2.404 -2.716 -3.579 -1.127 -1.600" Properties=species:S:1:pos:R:3 pbc="T T T"
Be 0.000 0.000 0.000
B -4.430 1.629 -1.640
S -6.644 2.443 -2.460
S -2.215 0.814 -0.820
```

***

Referenced to the most stable arrangement, the calculated values in kJ/mol of atoms are *i* 0.0; *ii* 109.1.

***

*i*
DFT (GGA-PBE) results for a relaxed structure of BeB3Sb.

Cell and atoms, written as extended XYZ:
```
5
Lattice="3.897 0.000 0.000 0.000 3.897 0.000 0.000 0.000 3.897" Properties=species:S:1:pos:R:3 pbc="T T T"
Sb 1.948 1.948 1.948
B 1.948 0.000 0.000
Be 0.000 0.000 0.000
B 0.000 0.000 1.948
B 0.000 1.948 0.000
```

***

*ii*
DFT (GGA-PBE) results for a relaxed structure of BeB3Sb.

Cell and atoms, written as extended XYZ:
```
5
Lattice="4.467 0.000 0.000 0.000 4.467 0.000 0.000 0.000 4.467" Properties=species:S:1:pos:R:3 pbc="T T T"
B 2.234 0.000 0.000
Sb 0.000 0.000 0.000
B 0.000 0.000 2.234
Be 2.234 2.234 2.234
B 0.000 2.234 0.000
```

***

Referenced to the most stable arrangement, the calculated values in kJ/mol of atoms are *i* 0.0; *ii* 90.8.

***

*i*
DFT (GGA-PBE) results for a relaxed structure of ScBeB.

Cell and atoms, written as extended XYZ:
```
6
Lattice="-1.899 -2.241 1.413 2.655 -1.774 0.755 1.509 4.675 5.681" Properties=species:S:1:pos:R:3 pbc="T T T"
Be 0.944 1.335 3.385
Be 1.321 -0.675 4.464
B -0.092 -0.331 3.111
Sc 0.149 1.201 5.863
Sc 2.116 -0.540 1.986
B 2.357 0.991 4.738
```

***

*ii*
DFT (GGA-PBE) results for a relaxed structure of ScBeB.

Cell and atoms, written as extended XYZ:
```
6
Lattice="3.431 0.000 0.000 0.000 3.431 0.000 0.000 0.000 6.192" Properties=species:S:1:pos:R:3 pbc="T T T"
B 1.715 1.715 0.000
Be 1.715 0.000 5.194
Sc 1.715 0.000 1.857
Be 0.000 1.715 0.997
Sc 0.000 1.715 4.335
B 0.000 0.000 0.000
```

***

Referenced to the most stable arrangement, the calculated values in kJ/mol of atoms are *i* 0.0; *ii* 9.5.

***

*i*
DFT (GGA-PBE) results for a relaxed structure of ScBeB.

Cell and atoms, written as extended XYZ:
```
12
Lattice="-0.363 -8.021 1.033 1.849 0.286 2.872 -4.731 0.599 2.986" Properties=species:S:1:pos:R:3 pbc="T T T"
Sc -4.519 -6.014 4.532
B -0.228 -7.038 3.917
Sc -1.169 -4.847 4.304
B -3.017 -0.099 2.975
B -3.391 -4.085 3.613
Be -3.127 -3.525 5.433
B 0.147 -3.052 3.278
Be -0.118 -3.611 1.459
Sc 1.274 -1.123 2.360
Sc -2.075 -2.289 2.587
Be -1.842 -7.426 2.949
Be -1.402 0.290 3.942
```

***

*ii*
DFT (GGA-PBE) results for a relaxed structure of ScBeB.

Cell and atoms, written as extended XYZ:
```
6
Lattice="-0.523 -3.390 0.097 2.859 -0.389 1.859 -2.041 -1.249 6.047" Properties=species:S:1:pos:R:3 pbc="T T T"
B 1.282 -0.467 1.653
B -0.159 -3.675 3.201
Sc 0.124 -3.641 5.939
Be -0.452 -1.869 4.029
Be -1.634 -1.632 5.894
Sc 1.991 -2.265 3.357
```

***

Referenced to the most stable arrangement, the calculated values in kJ/mol of atoms are *i* 8.3; *ii* 0.0.